[1]
DFT (PBE) results for a geometry-optimized CaLaCeY structure.

a = 5.8674 Å, b = 5.8674 Å, c = 5.8674 Å
α = 60.00°, β = 60.00°, γ = 60.00°
Element x y z (fractional)
Y 0.0000 0.0000 0.0000
Ce 0.2500 0.2500 0.2500
Ca 0.7500 0.7500 0.7500
La 0.5000 0.5000 0.5000

Calculated values
Electronic total energy = -4.5948 eV per atom
Total magnetic moment = 2.2 μB/cell
Theoretical density = 4743 kg/m3
Energy of formation from the pure elements = 0.24 eV per atom

[2]
DFT (PBE) results for a geometry-optimized Nd3Ga2Rh5 structure.

a = 3.6652 Å, b = 10.2405 Å, c = 10.2405 Å
α = 90.00°, β = 90.00°, γ = 90.00°
Element x y z (fractional)
Rh 0.5000 0.2176 0.0704
Rh 0.5000 0.0704 0.7824
Rh 0.5000 0.2824 0.5704
Rh 0.5000 0.4296 0.2824
Nd 0.0000 0.8256 0.6744
Ga 0.0000 0.1208 0.6208
Nd 0.0000 0.5000 0.5000
Nd 0.0000 0.6744 0.1744
Ga 0.0000 0.3792 0.1208
Rh 0.5000 0.5000 0.0000
Rh 0.5000 0.7176 0.4296
Rh 0.5000 0.5704 0.7176
Nd 0.0000 0.1744 0.3256
Nd 0.0000 0.0000 0.0000
Ga 0.0000 0.8792 0.3792
Rh 0.5000 0.7824 0.9296
Nd 0.0000 0.3256 0.8256
Ga 0.0000 0.6208 0.8792
Rh 0.5000 0.0000 0.5000
Rh 0.5000 0.9296 0.2176

Calculated values
Electronic total energy = -6.4455 eV per atom
Total magnetic moment = 0.0 μB/cell
Theoretical density = 9390 kg/m3
Energy of formation from the pure elements = -0.73 eV per atom

[3]
DFT (PBE) results for a geometry-optimized Cd2HgRh structure.

a = 5.3134 Å, b = 5.3134 Å, c = 4.1710 Å
α = 66.38°, β = 66.38°, γ = 45.55°
Element x y z (fractional)
Cd 0.2489 0.2489 0.7506
Rh 0.5000 0.5000 0.0000
Cd 0.7511 0.7511 0.2494
Hg 0.0000 0.0000 0.5000

Calculated values
Electronic total energy = -2.3760 eV per atom
Total magnetic moment = 0.0 μB/cell
Theoretical density = 11587 kg/m3
Energy of formation from the pure elements = -0.01 eV per atom

[4]
DFT (PBE) results for a geometry-optimized HoPaMn structure.

a = 3.3546 Å, b = 3.3546 Å, c = 6.1094 Å
α = 105.93°, β = 105.93°, γ = 90.00°
Element x y z (fractional)
Mn 0.6955 0.6955 0.3910
Ho 0.0062 0.0062 0.0124
Pa 0.2983 0.2983 0.5966

Calculated values
Electronic total energy = -7.6889 eV per atom
Total magnetic moment = 0.0 μB/cell
Theoretical density = 11818 kg/m3
Energy of formation from the pure elements = 0.06 eV per atom
Energy above the most stable polymorph in this dataset = 0.050 eV/atom